No. 1
DFT (PBE-GGA) results for an optimized crystal structure of FeNi2GeN.

The space group is P4/mmm (No. 123) and the conventional cell measures 3.8234, 3.8234 and 3.8348 Å, with angles of 90.00, 90.00 and 90.00 degrees. The asymmetric unit holds Fe at (0.0000, 0.0000, 0.0000), Ni at (0.0000, 0.5000, 0.5000), Ge at (0.5000, 0.5000, 0.0000) and N at (0.0000, 0.0000, 0.5000).

Its theoretical density is 7.7 Mg/m³. For the energy relative to the elements, uncorrected, the calculation gives -17 kJ/mol of formula units. The electronic total energy is -6.6296 eV per atom.


No. 2
DFT (PBE-GGA) results for an optimized crystal structure of Er3PuRu3.

The space group is C2/m (No. 12) and the conventional cell measures 10.1183, 9.2436 and 6.6184 Å, with angles of 90.00, 96.95 and 90.00 degrees. The asymmetric unit holds Er at (0.0000, 0.1896, 0.0000), Er at (0.0000, 0.2960, 0.5000), Er at (0.1896, 0.5000, 0.0221), Pu at (0.2081, 0.0000, 0.4260), Ru at (0.0663, 0.0000, 0.7021) and Ru at (0.2466, 0.2529, 0.7415).

As for the formation energy: -0.26 eV per atom. Its theoretical density is 11.3 Mg/m³. For the distance to the lowest polymorph of the same formula, the calculation gives 0.00 eV per formula unit. The electronic total energy is -8.2381 eV per atom.


No. 3
DFT (PBE-GGA) results for an optimized crystal structure of V2SiSn.

The space group is R-3m (No. 166, hexagonal axes) and the conventional cell measures 4.2344, 4.2344 and 13.2126 Å, with angles of 90.00, 90.00 and 120.00 degrees. The asymmetric unit holds V at (0.0000, 0.0000, 0.2037), Si at (0.0000, 0.0000, 0.5000) and Sn at (0.0000, 0.0000, 0.0000).

Its theoretical density is 6.0 Mg/m³. For the distance to the lowest polymorph of the same formula, the calculation gives 0.00 eV per formula unit. For the energy relative to the elements, uncorrected, the calculation gives 19 kJ/mol of formula units. The electronic total energy is -6.8660 eV per atom.


No. 4
DFT (PBE-GGA) results for an optimized crystal structure of FeRh2Se.

The space group is R-3m (No. 166, hexagonal axes) and the conventional cell measures 2.9123, 2.9123 and 24.2004 Å, with angles of 90.00, 90.00 and 120.00 degrees. The asymmetric unit holds Fe at (0.0000, 0.0000, 0.0000), Rh at (0.0000, 0.0000, 0.2511) and Se at (0.0000, 0.0000, 0.5000).

Its theoretical density is 9.5 Mg/m³. For the energy relative to the elements, uncorrected, the calculation gives 39 kJ/mol of formula units. The electronic total energy is -6.5606 eV per atom.


No. 5
DFT (PBE-GGA) results for an optimized crystal structure of Tb12Ag6Ir.

The space group is R-3 (No. 148, hexagonal axes) and the conventional cell measures 11.6834, 11.6834 and 13.3903 Å, with angles of 90.00, 90.00 and 120.00 degrees. The asymmetric unit holds Tb at (0.0265, 0.8388, 0.3652), Tb at (0.0478, 0.1972, 0.8957), Ag at (0.0043, 0.6014, 0.2309) and Ir at (0.0000, 0.0000, 0.5000).

As for the formation energy: -0.16 eV per atom. Its theoretical density is 8.6 Mg/m³. The electronic total energy is -4.4537 eV per atom.


No. 6
DFT (PBE-GGA) results for an optimized crystal structure of ZrPd3Cl.

The space group is Pm-3m (No. 221) and the conventional cell measures 4.9879, 4.9879 and 4.9879 Å, with angles of 90.00, 90.00 and 90.00 degrees. The asymmetric unit holds Zr at (0.0000, 0.0000, 0.0000), Pd at (0.0000, 0.0000, 0.5000) and Cl at (0.5000, 0.5000, 0.5000).

Its theoretical density is 6.0 Mg/m³. For the distance to the lowest polymorph of the same formula, the calculation gives 1.42 eV per formula unit. For the energy relative to the elements, uncorrected, the calculation gives 315 kJ/mol of formula units. The electronic total energy is -4.5426 eV per atom.


No. 7
DFT (PBE-GGA) results for an optimized crystal structure of Rb2SnI4.

The space group is C2/m (No. 12) and the conventional cell measures 15.2021, 4.8078 and 10.0616 Å, with angles of 90.00, 117.39 and 90.00 degrees. The asymmetric unit holds Rb at (0.1527, 0.0000, 0.1747), Sn at (0.0000, 0.5000, 0.5000), I at (0.0589, 0.5000, 0.8484) and I at (0.1564, 0.0000, 0.5574).

Its theoretical density is 4.1 Mg/m³. For the distance to the lowest polymorph of the same formula, the calculation gives 0.11 eV per formula unit. For the energy relative to the elements, uncorrected, the calculation gives -716 kJ/mol of formula units. The electronic total energy is -2.7935 eV per atom.


No. 8
DFT (PBE-GGA) results for an optimized crystal structure of CsRb2TlHg.

The space group is P4/mmm (No. 123) and the conventional cell measures 7.3335, 7.3335 and 5.9352 Å, with angles of 90.00, 90.00 and 90.00 degrees. The asymmetric unit holds Cs at (0.0000, 0.0000, 0.0000), Rb at (0.0000, 0.5000, 0.5000), Tl at (0.5000, 0.5000, 0.5000) and Hg at (0.5000, 0.5000, 0.0000).

As for the formation energy: -0.01 eV per atom. Its theoretical density is 3.7 Mg/m³. For the distance to the lowest polymorph of the same formula, the calculation gives 0.14 eV per formula unit. The electronic total energy is -1.1022 eV per atom.


No. 9
DFT (PBE-GGA) results for an optimized crystal structure of Ce2GeTe.

The space group is R-3m (No. 166, hexagonal axes) and the conventional cell measures 4.3583, 4.3583 and 21.6041 Å, with angles of 90.00, 90.00 and 120.00 degrees. The asymmetric unit holds Ce at (0.0000, 0.0000, 0.2422), Ge at (0.0000, 0.0000, 0.5000) and Te at (0.0000, 0.0000, 0.0000).

Its theoretical density is 6.7 Mg/m³. For the distance to the lowest polymorph of the same formula, the calculation gives 0.00 eV per formula unit. For the energy relative to the elements, uncorrected, the calculation gives -417 kJ/mol of formula units. The electronic total energy is -5.9871 eV per atom.


No. 10
DFT (PBE-GGA) results for an optimized crystal structure of Be2FePt.

The space group is R-3m (No. 166, hexagonal axes) and the conventional cell measures 2.6647, 2.6647 and 22.1135 Å, with angles of 90.00, 90.00 and 120.00 degrees. The asymmetric unit holds Be at (0.0000, 0.0000, 0.2470), Fe at (0.0000, 0.0000, 0.5000) and Pt at (0.0000, 0.0000, 0.0000).

As for the formation energy: -0.13 eV per atom. Its theoretical density is 9.9 Mg/m³. The electronic total energy is -5.6206 eV per atom.


No. 11
DFT (PBE-GGA) results for an optimized crystal structure of NaNbP2.

The space group is I-42d (No. 122) and the conventional cell measures 6.4206, 6.4206 and 10.6433 Å, with angles of 90.00, 90.00 and 90.00 degrees. The asymmetric unit holds Na at (0.0000, 0.0000, 0.0000), Nb at (0.0000, 0.0000, 0.5000) and P at (0.1805, 0.2500, 0.6250).

As for the formation energy: -0.20 eV per atom. Its theoretical density is 2.7 Mg/m³. For the distance to the lowest polymorph of the same formula, the calculation gives 1.16 eV per formula unit. The electronic total energy is -5.7530 eV per atom.


No. 12
DFT (PBE-GGA) results for an optimized crystal structure of DyCuNi.

The space group is I4mm (No. 107) and the conventional cell measures 3.3651, 3.3651 and 8.9533 Å, with angles of 90.00, 90.00 and 90.00 degrees. The asymmetric unit holds Dy at (0.0000, 0.0000, 0.0000), Cu at (0.0000, 0.0000, 0.6921) and Ni at (0.0000, 0.0000, 0.3211).

As for the formation energy: -0.20 eV per atom. Its theoretical density is 9.3 Mg/m³. For the distance to the lowest polymorph of the same formula, the calculation gives 0.43 eV per formula unit. The electronic total energy is -5.0221 eV per atom.


No. 13
DFT (PBE-GGA) results for an optimized crystal structure of V4Fe4Ir5.

The space group is I4/m (No. 87) and the conventional cell measures 9.5662, 9.5662 and 3.7445 Å, with angles of 90.00, 90.00 and 90.00 degrees. The asymmetric unit holds V at (0.1353, 0.7595, 0.0000), Fe at (0.0762, 0.3953, 0.0000), Ir at (0.0000, 0.0000, 0.0000) and Ir at (0.0495, 0.2007, 0.5000).

As for the formation energy: -0.29 eV per atom. Its theoretical density is 13.5 Mg/m³. The electronic total energy is -9.1038 eV per atom.


No. 14
DFT (PBE-GGA) results for an optimized crystal structure of KOs2Au.

The space group is I4/mmm (No. 139) and the conventional cell measures 3.8224, 3.8224 and 10.2778 Å, with angles of 90.00, 90.00 and 90.00 degrees. The asymmetric unit holds K at (0.0000, 0.0000, 0.0000), Os at (0.0000, 0.5000, 0.2500) and Au at (0.0000, 0.0000, 0.5000).

As for the formation energy: 1.54 eV per atom. Its theoretical density is 13.6 Mg/m³. For the distance to the lowest polymorph of the same formula, the calculation gives 4.00 eV per formula unit. The electronic total energy is -5.1640 eV per atom.


No. 15
DFT (PBE-GGA) results for an optimized crystal structure of Gd3TlOs.

The space group is Pm-3m (No. 221) and the conventional cell measures 5.4031, 5.4031 and 5.4031 Å, with angles of 90.00, 90.00 and 90.00 degrees. The asymmetric unit holds Gd at (0.0000, 0.0000, 0.5000), Tl at (0.5000, 0.5000, 0.5000) and Os at (0.0000, 0.0000, 0.0000).

As for the formation energy: -0.10 eV per atom. Its theoretical density is 9.1 Mg/m³. The electronic total energy is -11.2640 eV per atom.